CsGe2H6N2 | PBE-GGA | optimized geometry

VASP energy = -4.4794 eV/atom
N(E_F) = 1.9 states/eV/cell

a b c (Å): 6.875 6.875 8.444
angles (deg): 119.96 119.96 34.59
Positions (direct):
Cs 0.000 0.000 0.000
Ge 0.239 0.239 0.566
Ge 0.761 0.761 0.434
H 0.172 0.566 0.242
H 0.434 0.828 0.758
H 0.496 0.496 0.332
H 0.504 0.504 0.668
H 0.566 0.172 0.242
H 0.828 0.434 0.758
N 0.409 0.409 0.220
N 0.591 0.591 0.780